[1]
## Sn2H12Cl6O7 (PBE)

Data for a relaxed structure of Sn2H12Cl6O7.

The value obtained for the calculated total energy is -4.5556 eV per atom. Its density of states at the Fermi level is 0.00 states/eV per cell.

Lattice parameters (Å, degrees): 12.0510 8.0080 18.5889 90.00 106.71 90.00
Space group C2/c (No. 15)
Unique sites:
Sn1 0.2449 0.1463 0.4197 (multiplicity 8)
H1 0.0125 0.3336 0.5729 (multiplicity 8)
H2 0.0397 0.2286 0.5025 (multiplicity 8)
H3 0.0439 0.4350 0.8328 (multiplicity 8)
H4 0.0670 0.3807 0.2544 (multiplicity 8)
H5 0.1293 0.2934 0.8792 (multiplicity 8)
H6 0.1745 0.4689 0.4348 (multiplicity 8)
Cl1 0.0380 0.0948 0.3940 (multiplicity 8)
Cl2 0.2090 0.3596 0.0998 (multiplicity 8)
Cl3 0.2391 0.2496 0.2975 (multiplicity 8)
O1 0.0000 0.4555 0.2500 (multiplicity 4)
O2 0.0688 0.3128 0.5421 (multiplicity 8)
O3 0.0789 0.3872 0.8842 (multiplicity 8)
O4 0.2342 0.3877 0.4639 (multiplicity 8)

***

[2]
## Ga2AsAuCl (PBE)

Data for a relaxed structure of Ga2AsAuCl.

The calculation puts the uncorrected formation energy at 2.9 eV per formula unit. The value obtained for the calculated total energy is -2.5879 eV per atom. Its density of states at the Fermi level is 3.04 states/eV per cell.

Lattice parameters (Å, degrees): 5.2582 5.2582 4.8807 90.00 90.00 90.00
Space group P4/mmm (No. 123)
Unique sites:
Ga1 0.0000 0.5000 0.0000 (multiplicity 2)
As1 0.0000 0.0000 0.5000 (multiplicity 1)
Au1 0.5000 0.5000 0.5000 (multiplicity 1)
Cl1 0.0000 0.0000 0.0000 (multiplicity 1)

***

[3]
## PmNi2B (PBE)

Data for a relaxed structure of PmNi2B.

The calculation puts the energy relative to the lowest polymorph listed for this composition at 653.8 meV/atom. As for the formation energy: 0.239 eV per atom. The value obtained for the calculated total energy is -5.5091 eV per atom. Its density of states at the Fermi level is 3.88 states/eV per cell.

Lattice parameters (Å, degrees): 2.7934 2.7934 6.8389 90.00 90.00 90.00
Space group P4/mmm (No. 123)
Unique sites:
Pm1 0.0000 0.0000 0.0000 (multiplicity 1)
Ni1 0.5000 0.5000 0.3328 (multiplicity 2)
B1 0.0000 0.0000 0.5000 (multiplicity 1)

***

[4]
## Fe2PtSe (PBE)

Data for a relaxed structure of Fe2PtSe.

The calculation puts the uncorrected formation energy at 0.6 eV per formula unit. The value obtained for the calculated total energy is -6.4521 eV per atom. Its density of states at the Fermi level is 6.75 states/eV per cell.

Lattice parameters (Å, degrees): 2.9216 4.4139 8.9727 90.00 90.00 90.00
Space group Imm2 (No. 44)
Unique sites:
Fe1 0.0000 0.0000 0.0000 (multiplicity 2)
Fe2 0.0000 0.5000 0.2479 (multiplicity 2)
Pt1 0.0000 0.5000 0.7700 (multiplicity 2)
Se1 0.0000 0.0000 0.5251 (multiplicity 2)

***

Among the records above, which one has the lowest calculated total energy? Fe2PtSe

***

Among the records above, which one has the lowest calculated total energy? Fe2PtSe

***

calculated total energy of number 3 (PmNi2B)? -5.5091 eV per atom